--- P ---
DFT (PBEsol) results for a relaxed CrPtBr2 crystal.

Results
- V (Å³ per cell) = 89.55
- crystal system = monoclinic

Unit cell a=3.6310 b=3.6762 c=6.7121 alpha=91.79 beta=90.00 gamma=90.00
Closest atoms and distances in Å follow each position.
Atoms (fractional coordinates):
Br  0.5000  0.6460  0.6711  1 Pt 2.47, 2 Cr 2.62
Cr  0.0000  0.8797  0.4236  3 Br 2.50-2.62, 4 Pt 2.66
Pt  0.5000  0.3746  0.3303  3 Br 2.47-2.67, 4 Cr 2.66
Br  0.0000  0.0997  0.0750  1 Cr 2.50, 2 Pt 2.67



--- Q ---
DFT (PBEsol) results for a relaxed CrPtBr2 crystal.

Results
- V (Å³ per cell) = 78.82
- crystal system = tetragonal

Unit cell a=3.1172 b=3.1172 c=8.1113 alpha=90.00 beta=90.00 gamma=90.00
Closest atoms and distances in Å follow each position.
Atoms (fractional coordinates):
Br  0.0000  0.0000  0.9347  4 Pt 2.87, 4 Br 3.12
Cr  0.0000  0.0000  0.5307  4 Pt 2.63, 4 Br 2.76
Pt  0.5000  0.5000  0.7078  4 Cr 2.63, 4 Br 2.87
Br  0.5000  0.5000  0.3268  4 Cr 2.76



Quick one: most stable of them? P



--- P ---
DFT (PBEsol) results for a relaxed CrRuBr2 crystal.

Results
- V (Å³ per cell) = 75.54
- crystal system = monoclinic

Unit cell a=3.4326 b=5.1586 c=5.1586 alpha=105.40 beta=108.15 gamma=108.15
Closest atoms and distances in Å follow each position.
Atoms (fractional coordinates):
Br  0.0000  0.5000  0.0000  2 Cr 2.58, 2 Ru 2.58
Ru  0.0000  0.5000  0.5000  4 Br 2.58
Br  0.0000  0.0000  0.5000  2 Ru 2.58, 2 Cr 2.58
Cr  0.0000  0.0000  0.0000  4 Br 2.58



--- Q ---
DFT (PBEsol) results for a relaxed CrRuBr2 crystal.

Results
- V (Å³ per cell) = 76.65
- crystal system = orthorhombic

Unit cell a=3.2841 b=3.3543 c=7.9803 alpha=90.00 beta=90.00 gamma=119.31
Closest atoms and distances in Å follow each position.
Atoms (fractional coordinates):
Br  0.0000  0.0000  0.7547  2 Ru 2.56, 2 Cr 2.61
Ru  0.5000  0.0000  0.0000  4 Br 2.56
Br  0.0000  0.0000  0.2453  2 Ru 2.56, 2 Cr 2.61
Cr  0.5000  0.0000  0.5000  4 Br 2.61



--- R ---
DFT (PBEsol) results for a relaxed CrRuBr2 crystal.

Results
- V (Å³ per cell) = 70.76
- crystal system = trigonal

Unit cell a=3.1881 b=3.1881 c=8.2463 alpha=78.85 beta=78.85 gamma=60.00
Closest atoms and distances in Å follow each position.
Atoms (fractional coordinates):
Ru  0.0000  0.0000  0.0000  2 Br 2.37
Cr  0.5000  0.5000  0.5000  6 Br 2.47
Br  0.0984  0.0984  0.7048  1 Ru 2.37, 3 Cr 2.47
Br  0.9016  0.9016  0.2952  1 Ru 2.37, 3 Cr 2.47



Quick one: most stable of them? R



--- P ---
DFT (PBEsol) results for a relaxed CrRuBr2 crystal.

Results
- V (Å³ per cell) = 69.47
- crystal system = tetragonal

Unit cell a=3.2596 b=3.2596 c=6.5386 alpha=90.00 beta=90.00 gamma=90.00
Closest atoms and distances in Å follow each position.
Atoms (fractional coordinates):
Br  0.0000  0.0000  0.2479  4 Cr 2.82, 4 Ru 2.83
Cr  0.5000  0.5000  0.0000  8 Br 2.82
Br  0.0000  0.0000  0.7521  4 Cr 2.82, 4 Ru 2.83
Ru  0.5000  0.5000  0.5000  8 Br 2.83



--- Q ---
DFT (PBEsol) results for a relaxed CrRuBr2 crystal.

Results
- V (Å³ per cell) = 74.81
- crystal system = monoclinic

Unit cell a=3.3858 b=4.0669 c=5.4339 alpha=90.00 beta=90.96 gamma=90.00
Closest atoms and distances in Å follow each position.
Atoms (fractional coordinates):
Br  0.2224  0.0000  0.2414  2 Ru 2.53, 2 Cr 2.64
Cr  0.5000  0.5000  0.5000  4 Br 2.64
Br  0.7776  0.0000  0.7586  2 Ru 2.53, 2 Cr 2.64
Ru  0.0000  0.5000  0.0000  4 Br 2.53



Quick one: most stable of them? Q



--- P ---
DFT (PBEsol) results for a relaxed Sc2CrBr crystal.

Results
- V (Å³ per cell) = 77.73
- crystal system = tetragonal

Unit cell a=3.2190 b=3.2190 c=7.5014 alpha=90.00 beta=90.00 gamma=90.00
Closest atoms and distances in Å follow each position.
Atoms (fractional coordinates):
Sc  0.0000  0.0000  0.2894  4 Cr 2.77
Sc  0.0000  0.0000  0.7106  4 Cr 2.77
Br  0.5000  0.5000  0.0000  8 Sc 3.15, 4 Br 3.22
Cr  0.5000  0.5000  0.5000  8 Sc 2.77



--- Q ---
DFT (PBEsol) results for a relaxed Sc2CrBr crystal.

Results
- V (Å³ per cell) = 79.80
- crystal system = cubic

Unit cell a=4.8324 b=4.8324 c=4.8324 alpha=60.00 beta=60.00 gamma=60.00
Closest atoms and distances in Å follow each position.
Atoms (fractional coordinates):
Sc  0.2500  0.2500  0.2500  4 Cr 2.96, 4 Br 2.96
Cr  0.5000  0.5000  0.5000  8 Sc 2.96
Br  0.0000  0.0000  0.0000  8 Sc 2.96
Sc  0.7500  0.7500  0.7500  4 Cr 2.96, 4 Br 2.96



Quick one: most stable of them? P



--- P ---
DFT (PBEsol) results for a relaxed CrSiBr2 crystal.

Results
- V (Å³ per cell) = 91.37
- crystal system = orthorhombic

Unit cell a=3.4069 b=3.4458 c=8.9537 alpha=90.00 beta=90.00 gamma=119.63
Closest atoms and distances in Å follow each position.
Atoms (fractional coordinates):
Br  0.0000  0.0000  0.7054  2 Cr 2.51
Cr  0.5000  0.0000  0.5000  4 Br 2.51
Br  0.0000  0.0000  0.2946  2 Cr 2.51
Si  0.5000  0.0000  0.0000  4 Br 3.14, 6 Si 3.41-3.45



--- Q ---
DFT (PBEsol) results for a relaxed CrSiBr2 crystal.

Results
- V (Å³ per cell) = 81.28
- crystal system = tetragonal

Unit cell a=3.4241 b=4.8720 c=4.8720 alpha=90.00 beta=90.00 gamma=90.00
Closest atoms and distances in Å follow each position.
Atoms (fractional coordinates):
Br  0.0000  0.5000  0.0000  4 Cr 2.98, 4 Si 2.98
Cr  0.5000  0.5000  0.5000  8 Br 2.98
Br  0.0000  0.0000  0.5000  4 Cr 2.98, 4 Si 2.98
Si  0.5000  0.0000  0.0000  8 Br 2.98



--- R ---
DFT (PBEsol) results for a relaxed CrSiBr2 crystal.

Results
- V (Å³ per cell) = 89.80
- crystal system = tetragonal

Unit cell a=4.9182 b=4.9195 c=4.9195 alpha=100.16 beta=114.34 gamma=114.34
Closest atoms and distances in Å follow each position.
Atoms (fractional coordinates):
Cr  0.5000  0.0000  0.0000  4 Br 2.67
Br  0.0000  0.0000  0.5000  2 Cr 2.67, 2 Si 2.67
Si  0.5000  0.5000  0.5000  4 Br 2.67
Br  0.0000  0.5000  0.0000  2 Si 2.67, 2 Cr 2.67



--- S ---
DFT (PBEsol) results for a relaxed CrSiBr2 crystal.

Results
- V (Å³ per cell) = 88.71
- crystal system = monoclinic

Unit cell a=3.1883 b=3.8946 c=7.4043 alpha=98.65 beta=102.43 gamma=90.00
Closest atoms and distances in Å follow each position.
Atoms (fractional coordinates):
Br  0.1464  0.1993  0.2928  1 Si 2.57, 2 Cr 2.67
Br  0.8536  0.8007  0.7071  1 Si 2.57, 2 Cr 2.67
Si  0.0000  0.5000  0.0000  4 Cr 2.52, 2 Br 2.57
Cr  0.5000  0.0000  0.0000  4 Si 2.52, 4 Br 2.67



Quick one: most stable of them? S



--- P ---
DFT (PBEsol) results for a relaxed CrSi2Br crystal.

Results
- V (Å³ per cell) = 62.64
- crystal system = trigonal

Unit cell a=3.1175 b=3.1175 c=7.6569 alpha=78.25 beta=78.25 gamma=60.00
Closest atoms and distances in Å follow each position.
Atoms (fractional coordinates):
Si  0.7361  0.7361  0.7916  3 Cr 2.38
Si  0.2639  0.2639  0.2084  3 Cr 2.38
Br  0.5000  0.5000  0.5000  6 Si 2.82, 6 Br 3.12
Cr  0.0000  0.0000  0.0000  6 Si 2.38



--- Q ---
DFT (PBEsol) results for a relaxed CrSi2Br crystal.

Results
- V (Å³ per cell) = 186.22
- crystal system = tetragonal

Unit cell a=5.7600 b=5.7600 c=6.9348 alpha=114.54 beta=114.54 gamma=90.00
Closest atoms and distances in Å follow each position.
Atoms (fractional coordinates):
Si  0.4425  0.8750  0.2500  2 Cr 2.27
Cr  0.5000  0.5000  0.0000  4 Si 2.27
Si  0.8075  0.3750  0.2500  2 Cr 2.27
Cr  0.7500  0.2500  0.5000  4 Si 2.27
Br  0.0000  0.0000  0.0000  4 Si 2.72
Si  0.6250  0.5575  0.7500  2 Cr 2.27
Br  0.2500  0.7500  0.5000  4 Si 2.72
Si  0.1250  0.1925  0.7500  2 Cr 2.27



Quick one: most stable of them? P



--- P ---
DFT (PBEsol) results for a relaxed Ta2CrBr crystal.

Results
- V (Å³ per cell) = 64.81
- crystal system = monoclinic

Unit cell a=2.9793 b=4.4613 c=5.0815 alpha=90.00 beta=106.35 gamma=90.00
Closest atoms and distances in Å follow each position.
Atoms (fractional coordinates):
Ta  0.7948  0.5000  0.2388  1 Cr 2.40
Cr  0.3341  0.5000  0.7690  1 Ta 2.40, 2 Br 2.57
Br  0.3223  0.0000  0.5156  2 Cr 2.57, 5 Ta 2.63-2.86
Ta  0.0488  0.0000  0.9766  3 Br 2.63-2.71, 2 Cr 2.70, 2 Ta 2.81



--- Q ---
DFT (PBEsol) results for a relaxed Ta2CrBr crystal.

Results
- V (Å³ per cell) = 65.52
- crystal system = orthorhombic

Unit cell a=3.1587 b=4.4581 c=4.6527 alpha=90.00 beta=90.00 gamma=90.00
Closest atoms and distances in Å follow each position.
Atoms (fractional coordinates):
Ta  0.0000  0.0000  0.0000  4 Br 2.73, 4 Ta 2.81
Cr  0.0000  0.5000  0.5000  4 Ta 2.73, 4 Br 2.81
Ta  0.5000  0.0000  0.5000  4 Cr 2.73, 4 Ta 2.81
Br  0.5000  0.5000  0.0000  4 Ta 2.73, 4 Cr 2.81



Quick one: most stable of them? P



--- P ---
DFT (PBEsol) results for a relaxed CrTe2Br crystal.

Results
- V (Å³ per cell) = 94.19
- crystal system = tetragonal

Unit cell a=3.2379 b=5.3934 c=5.3934 alpha=90.00 beta=90.00 gamma=90.00
Closest atoms and distances in Å follow each position.
Atoms (fractional coordinates):
Cr  0.5000  0.0000  0.0000  8 Te 3.15, 2 Cr 3.24
Br  0.5000  0.5000  0.5000  8 Te 3.15, 2 Br 3.24
Te  0.0000  0.0000  0.5000  4 Cr 3.15, 4 Br 3.15, 2 Te 3.24
Te  0.0000  0.5000  0.0000  4 Cr 3.15, 4 Br 3.15, 2 Te 3.24



--- Q ---
DFT (PBEsol) results for a relaxed CrTe2Br crystal.

Results
- V (Å³ per cell) = 105.99
- crystal system = monoclinic

Unit cell a=5.1840 b=5.1675 c=5.1675 alpha=106.48 beta=111.12 gamma=111.12
Closest atoms and distances in Å follow each position.
Atoms (fractional coordinates):
Te  0.0000  0.5000  0.0000  2 Br 2.93, 2 Cr 2.93, 2 Te 3.09
Br  0.5000  0.5000  0.5000  4 Te 2.93, 2 Cr 3.09
Te  0.0000  0.0000  0.5000  2 Cr 2.93, 2 Br 2.93, 2 Te 3.09
Cr  0.5000  0.0000  0.0000  4 Te 2.93, 2 Br 3.09



Quick one: most stable of them? Q



--- P ---
DFT (PBEsol) results for a relaxed CrTe2Br crystal.

Results
- V (Å³ per cell) = 257.45
- crystal system = tetragonal

Unit cell a=6.8913 b=7.2893 c=6.8913 alpha=61.79 beta=90.00 gamma=118.21
Closest atoms and distances in Å follow each position.
Atoms (fractional coordinates):
Br  0.0000  0.0000  0.0000  4 Te 3.19
Te  0.3750  0.2500  0.2119  2 Cr 2.46
Te  0.2119  0.7500  0.8750  2 Cr 2.46
Br  0.7500  0.5000  0.7500  4 Te 3.19
Cr  0.5000  0.0000  0.5000  4 Te 2.46
Te  0.8750  0.2500  0.5381  2 Cr 2.46
Cr  0.2500  0.5000  0.2500  4 Te 2.46
Te  0.5381  0.7500  0.3750  2 Cr 2.46



--- Q ---
DFT (PBEsol) results for a relaxed CrTe2Br crystal.

Results
- V (Å³ per cell) = 96.38
- crystal system = trigonal

Unit cell a=3.7309 b=3.7309 c=8.2805 alpha=76.98 beta=76.98 gamma=60.00
Closest atoms and distances in Å follow each position.
Atoms (fractional coordinates):
Te  0.7304  0.7304  0.8088  3 Cr 2.64
Te  0.2696  0.2696  0.1912  3 Cr 2.64
Br  0.5000  0.5000  0.5000  6 Te 3.28
Cr  0.0000  0.0000  0.0000  6 Te 2.64



--- R ---
DFT (PBEsol) results for a relaxed CrTe2Br crystal.

Results
- V (Å³ per cell) = 98.99
- crystal system = orthorhombic

Unit cell a=3.3583 b=5.8736 c=5.8736 alpha=121.30 beta=90.00 gamma=90.00
Closest atoms and distances in Å follow each position.
Atoms (fractional coordinates):
Te  0.0000  0.0000  0.5000  2 Te 2.88
Br  0.5000  0.0000  0.0000  2 Cr 2.88
Cr  0.5000  0.5000  0.5000  2 Br 2.88
Te  0.0000  0.5000  0.0000  2 Te 2.88



--- S ---
DFT (PBEsol) results for a relaxed CrTe2Br crystal.

Results
- V (Å³ per cell) = 98.28
- crystal system = orthorhombic

Unit cell a=3.3743 b=5.1218 c=6.4610 alpha=113.35 beta=105.14 gamma=90.00
Closest atoms and distances in Å follow each position.
Atoms (fractional coordinates):
Te  0.6870  0.6870  0.3740  2 Cr 2.71
Cr  0.0000  0.5000  0.0000  4 Te 2.71
Br  0.5000  0.0000  0.0000  4 Cr 3.07, 4 Te 3.33, 2 Br 3.37
Te  0.3130  0.3130  0.6260  2 Cr 2.71



Quick one: most stable of them? Q



--- P ---
DFT (PBEsol) results for a relaxed CrW2Br crystal.

Results
- V (Å³ per cell) = 62.76
- crystal system = trigonal

Unit cell a=2.9675 b=2.9675 c=8.4057 alpha=79.83 beta=79.83 gamma=60.00
Closest atoms and distances in Å follow each position.
Atoms (fractional coordinates):
W  0.7488  0.7488  0.7536  3 Br 2.77, 9 W 2.80-2.97
W  0.9926  0.9926  0.0221  3 Cr 2.45
Br  0.5036  0.5036  0.4892  3 Cr 2.70, 3 W 2.77, 6 Br 2.97
Cr  0.2550  0.2550  0.2351  3 W 2.45, 3 Br 2.70



--- Q ---
DFT (PBEsol) results for a relaxed CrW2Br crystal.

Results
- V (Å³ per cell) = 63.91
- crystal system = tetragonal

Unit cell a=3.7024 b=3.7024 c=4.6624 alpha=90.00 beta=90.00 gamma=90.00
Closest atoms and distances in Å follow each position.
Atoms (fractional coordinates):
W  0.5000  0.0000  0.0000  4 W 2.62
Cr  0.0000  0.0000  0.5000  4 Br 2.62
W  0.0000  0.5000  0.0000  4 W 2.62
Br  0.5000  0.5000  0.5000  4 Cr 2.62



Quick one: most stable of them? P



--- P ---
DFT (PBEsol) results for a relaxed ZnCrBr2 crystal.

Results
- V (Å³ per cell) = 108.79
- crystal system = monoclinic

Unit cell a=3.4836 b=3.7810 c=8.3602 alpha=98.90 beta=90.00 gamma=90.00
Closest atoms and distances in Å follow each position.
Atoms (fractional coordinates):
Br  0.0000  0.1419  0.3099  2 Cr 2.47
Zn  0.5000  0.5000  0.0000  4 Zn 3.48-3.78, 8 Br 3.56-3.70
Cr  0.5000  0.0000  0.5000  4 Br 2.47
Br  0.0000  0.8581  0.6901  2 Cr 2.47



--- Q ---
DFT (PBEsol) results for a relaxed ZnCrBr2 crystal.

Results
- V (Å³ per cell) = 81.52
- crystal system = cubic

Unit cell a=4.8670 b=4.8670 c=4.8670 alpha=60.00 beta=60.00 gamma=60.00
Closest atoms and distances in Å follow each position.
Atoms (fractional coordinates):
Zn  0.5000  0.5000  0.5000  8 Br 2.98
Br  0.7500  0.7500  0.7500  4 Zn 2.98, 4 Cr 2.98
Br  0.2500  0.2500  0.2500  4 Zn 2.98, 4 Cr 2.98
Cr  0.0000  0.0000  0.0000  8 Br 2.98



Quick one: most stable of them? P



--- P ---
DFT (PBEsol) results for a relaxed CsBrF2 crystal.

Results
- V (Å³ per cell) = 193.18
- crystal system = tetragonal

Unit cell a=5.0317 b=5.0317 c=8.4187 alpha=107.39 beta=107.39 gamma=90.00
Closest atoms and distances in Å follow each position.
Atoms (fractional coordinates):
Br  0.5000  0.5000  0.0000  4 F 2.34
Br  0.7500  0.2500  0.5000  4 F 2.34
Cs  0.0000  0.0000  0.0000  4 F 3.04
F  0.1250  0.2720  0.7500  2 Br 2.34
Cs  0.2500  0.7500  0.5000  4 F 3.04
F  0.6250  0.4780  0.7500  2 Br 2.34
F  0.5220  0.8750  0.2500  2 Br 2.34
F  0.7280  0.3750  0.2500  2 Br 2.34



--- Q ---
DFT (PBEsol) results for a relaxed CsBrF2 crystal.

Results
- V (Å³ per cell) = 121.75
- crystal system = trigonal

Unit cell a=4.8529 b=4.8529 c=6.5941 alpha=68.41 beta=68.41 gamma=60.00
Closest atoms and distances in Å follow each position.
Atoms (fractional coordinates):
F  0.8897  0.8897  0.3310  1 Br 1.98
Br  0.0000  0.0000  0.0000  2 F 1.98
Cs  0.5000  0.5000  0.5000  6 F 2.98
F  0.1103  0.1103  0.6690  1 Br 1.98



Quick one: most stable of them? Q